Density functional theory data (PBE-GGA) for a relaxed PmHO2F crystal.

Geometry as CIF:
```
data_PmHO2F
_chemical_formula_sum 'Pm2 H2 O4 F2'
_space_group_name_H-M_alt 'P 1 21/m 1'
_space_group_IT_number 11
_cell_length_a 4.5879
_cell_length_b 3.9248
_cell_length_c 6.5496
_cell_angle_alpha 90.00
_cell_angle_beta 107.65
_cell_angle_gamma 90.00
loop_
_space_group_symop_operation_xyz
'x,y,z'
'-x,-y,-z'
'-x,y+1/2,-z'
'x,-y+1/2,z'
loop_
_atom_site_label
_atom_site_type_symbol
_atom_site_fract_x
_atom_site_fract_y
_atom_site_fract_z
Pm1 Pm 0.1650 0.2500 0.2727
H1 H 0.3988 0.2500 0.8626
O1 O 0.1168 0.2500 0.8942
O2 O 0.4194 0.7500 0.2061
F1 F 0.2373 0.7500 0.5510
```

**V**: 11.2 A^3/atom
**Uncorrected energy**: -6.287 eV/atom

---

Density functional theory data (PBE-GGA) for a relaxed HfZr9Zn2 crystal.

Geometry as CIF:
```
data_HfZr9Zn2
_chemical_formula_sum 'Hf1 Zr9 Zn2'
_space_group_name_H-M_alt 'P 4/m m m'
_space_group_IT_number 123
_space_group_name_Hall '-P 4 2'
_cell_length_a 4.4334
_cell_length_b 4.4334
_cell_length_c 13.1781
_cell_angle_alpha 90.00
_cell_angle_beta 90.00
_cell_angle_gamma 90.00
loop_
_atom_site_label
_atom_site_type_symbol
_atom_site_fract_x
_atom_site_fract_y
_atom_site_fract_z
Hf1 Hf 0.0000 0.0000 0.0000
Zr1 Zr 0.0000 0.5000 0.1717
Zr2 Zr 0.0000 0.5000 0.5000
Zr3 Zr 0.5000 0.5000 0.0000
Zr4 Zr 0.5000 0.5000 0.3394
Zn1 Zn 0.0000 0.0000 0.3384
```

**V**: 21.6 A^3/atom
**Uncorrected energy**: -7.523 eV/atom
**DFT formation energy**: -0.070 eV per atom

---

Density functional theory data (PBE-GGA) for a relaxed Y2Rh2Au crystal.

Geometry as CIF:
```
data_Y2Rh2Au
_chemical_formula_sum 'Y4 Rh4 Au2'
_space_group_name_H-M_alt 'I 4/m m m'
_space_group_IT_number 139
_space_group_name_Hall '-I 4 2'
_cell_length_a 5.2961
_cell_length_b 5.2961
_cell_length_c 8.0664
_cell_angle_alpha 90.00
_cell_angle_beta 90.00
_cell_angle_gamma 90.00
loop_
_atom_site_label
_atom_site_type_symbol
_atom_site_fract_x
_atom_site_fract_y
_atom_site_fract_z
Y1 Y 0.0000 0.5000 0.2500
Rh1 Rh 0.0000 0.0000 0.1591
Au1 Au 0.0000 0.0000 0.5000
```

**Relative energy among the computed polymorphs**: 285 meV per atom
**V**: 22.6 A^3/atom
**Uncorrected energy**: -6.690 eV/atom
**DFT formation energy**: -0.508 eV per atom